Material: CeScSb
Method: DFT, PBE
State: optimized geometry

Output
Formation energy without anion corrections ... -1.56 eV/f.u.
Magnetization ... 1.614 μB/f.u.
E ... -5.98 eV per atom
Relative energy among the computed polymorphs ... 230 meV/atom
N(E_F) ... 7.7 states/eV/f.u.

a = 6.026 Å, b = 6.026 Å, c = 6.026 Å
α = 142.58°, β = 142.58°, γ = 53.96°
Element x y z (fractional)
Ce (0.000, 0.000, 0.000)
Sc (0.298, 0.298, 0.000)
Sb (0.680, 0.680, 0.000)

Material: CeSc4Sb5
Method: DFT, PBE
State: optimized geometry

Output
Formation energy without anion corrections ... -9.38 eV/f.u.
Magnetization ... 0.629 μB/f.u.
E ... -6.13 eV per atom
N(E_F) ... 7.0 states/eV/f.u.

a = 11.171 Å, b = 11.171 Å, c = 11.171 Å
α = 158.16°, β = 148.73°, γ = 38.46°
Element x y z (fractional)
Ce (0.000, 0.000, 0.000)
Sc (0.205, 0.205, 0.000)
Sc (0.399, 0.399, 0.000)
Sc (0.601, 0.601, 0.000)
Sc (0.795, 0.795, 0.000)
Sb (0.108, 0.608, 0.500)
Sb (0.301, 0.801, 0.500)
Sb (0.500, 0.000, 0.500)
Sb (0.699, 0.199, 0.500)
Sb (0.892, 0.392, 0.500)